Computed, not measured: La2ScCr at its PBEsol-relaxed geometry at the SCAN level of DFT.

Computed properties:
Total moment ... 3.3 μB per formula unit
Energy ... -118.23 eV for the cell shown
Distance to the lowest polymorph of the same formula ... 0 meV/atom
Density of states at the Fermi level ... 3.99 states/eV per cell
Crystal system ... tetragonal
Calculated formation energy ... 0.1496 eV/atom

a = 3.4841 Å, b = 3.4841 Å, c = 8.3856 Å
α = 90.00°, β = 90.00°, γ = 89.98°
Closest atoms and distances in Å follow each position.
Fractional coordinates of all 4 atoms:
Sc: 0.0000 0.0000 0.4459  4 Cr 2.87
La: 0.5000 0.5000 0.7398  8 La 3.48-3.54, 4 Sc 3.48-3.49
La: 0.0000 0.0000 0.0433  4 Cr 3.12, 1 Sc 3.38, 4 La 3.48
Cr: 0.5000 0.5000 0.2710  4 Sc 2.87, 4 La 3.12



Computed, not measured: BaCrPb at its PBEsol-relaxed geometry at the SCAN level of DFT.

Computed properties:
Total moment ... 4.1 μB per formula unit
Energy ... -133.71 eV for the cell shown
Density of states at the Fermi level ... 3.38 states/eV per cell
Crystal system ... cubic
Calculated formation energy ... 0.0021 eV/atom

a = 5.1231 Å, b = 5.1231 Å, c = 5.1231 Å
α = 60.00°, β = 60.00°, γ = 60.00°
Closest atoms and distances in Å follow each position.
Fractional coordinates of all 3 atoms:
Cr: 0.2500 0.2500 0.2500  4 Ba 3.14, 4 Pb 3.14
Pb: 0.0000 0.0000 0.0000  4 Cr 3.14
Ba: 0.5000 0.5000 0.5000  4 Cr 3.14



Please write out number 2 again, unchanged.
Computed, not measured: BaCrPb at its PBEsol-relaxed geometry at the SCAN level of DFT.

Computed properties:
Total moment ... 4.1 μB per formula unit
Energy ... -133.71 eV for the cell shown
Density of states at the Fermi level ... 3.38 states/eV per cell
Crystal system ... cubic
Calculated formation energy ... 0.0021 eV/atom

a = 5.1231 Å, b = 5.1231 Å, c = 5.1231 Å
α = 60.00°, β = 60.00°, γ = 60.00°
Closest atoms and distances in Å follow each position.
Fractional coordinates of all 3 atoms:
Cr: 0.2500 0.2500 0.2500  4 Ba 3.14, 4 Pb 3.14
Pb: 0.0000 0.0000 0.0000  4 Cr 3.14
Ba: 0.5000 0.5000 0.5000  4 Cr 3.14



Question: The highest density of states at the Fermi level belongs to which entry?
Answer: La2ScCr